[1]
VASP calculation (PBE) on a geometry-optimized La4Ce3ErTe8 structure.

The calculation puts the total energy at -271.71 eV per cell. The value obtained for the total magnetization is 3.49 μB/f.u. The calculation puts the uncorrected formation energy at -1.460 eV per atom.

The structure belongs to space group R-3m (No. 166, hexagonal axes); the cell edges are 9.0161, 9.0161 and 22.2119 Å and the angles 90.00°, 90.00° and 120.00°. The inequivalent atoms are La at (0.0000, 0.0000, 0.0000), La at (0.0000, 0.5000, 0.0000), Ce at (0.0000, 0.5000, 0.5000), Er at (0.0000, 0.0000, 0.5000), Te at (0.0000, 0.0000, 0.2481) and Te at (0.0068, 0.5034, 0.2464).

=====

[2]
VASP calculation (PBE) on a geometry-optimized La3Ce3ErTe8 structure.

The calculation puts the total energy at -253.10 eV per cell. The value obtained for the total magnetization is 4.00 μB/f.u. The calculation puts the uncorrected formation energy at -1.472 eV per atom.

The structure belongs to space group R-3m (No. 166, hexagonal axes); the cell edges are 9.0079, 9.0079 and 22.3541 Å and the angles 90.00°, 90.00° and 120.00°. The inequivalent atoms are La at (0.0000, 0.5000, 0.0000), Ce at (0.0000, 0.5000, 0.5000), Er at (0.0000, 0.0000, 0.5000), Te at (0.0000, 0.0000, 0.2484) and Te at (0.0047, 0.5024, 0.2472).

=====

[3]
VASP calculation (PBE) on a geometry-optimized LaCe2ErTe5 structure.

The calculation puts the total energy at -45.36 eV per cell. The value obtained for the total magnetization is 3.83 μB/f.u. The calculation puts the uncorrected formation energy at -0.921 eV per atom.

The structure belongs to space group P4/mmm (No. 123); the cell edges are 5.483, 5.483 and 11.858 Å and the angles 90.00°, 90.00° and 90.00°. The inequivalent atoms are La at (0.000, 0.000, 0.000), Ce at (0.500, 0.500, 0.327), Er at (0.000, 0.000, 0.500), Te at (0.000, 0.000, 0.251), Te at (0.000, 0.500, 0.500) and Te at (0.500, 0.500, 0.000).

=====

[4]
VASP calculation (PBE) on a geometry-optimized LaCeErTh structure.

The calculation puts the formation energy at 0.207 eV per atom. As for the energy above the lowest structure with this stoichiometry: 0.175 eV per atom. The calculation puts the total energy at -88.07 eV per cell. The value obtained for the total magnetization is 1.20 μB/f.u.

The structure belongs to space group F-43m (No. 216); the cell edges are 8.032, 8.032 and 8.032 Å and the angles 90.00°, 90.00° and 90.00°. The inequivalent atoms are La at (0.000, 0.000, 0.000), Ce at (0.250, 0.250, 0.250), Er at (0.250, 0.250, 0.750) and Th at (0.000, 0.000, 0.500).

=====

[5]
VASP calculation (PBE) on a geometry-optimized LaCeErTh structure.

The calculation puts the formation energy at 0.032 eV per atom. As for the energy above the lowest structure with this stoichiometry: 0.000 eV per atom. The calculation puts the total energy at -22.72 eV per cell. The value obtained for the total magnetization is 0.00 μB/f.u.

The structure belongs to space group P4mm (No. 99); the cell edges are 3.549, 3.549 and 10.036 Å and the angles 90.00°, 90.00° and 90.00°. The inequivalent atoms are La at (0.000, 0.000, 0.000), Ce at (0.500, 0.500, 0.747), Er at (0.500, 0.500, 0.272) and Th at (0.000, 0.000, 0.513).

=====

[6]
VASP calculation (PBE) on a geometry-optimized LaCe2ErTl4 structure.

The calculation puts the formation energy at -0.278 eV per atom. The calculation puts the total energy at -99.15 eV per cell. The value obtained for the total magnetization is 2.25 μB/f.u.

The structure belongs to space group R-3m (No. 166, hexagonal axes); the cell edges are 5.5012, 5.5012 and 27.1333 Å and the angles 90.00°, 90.00° and 120.00°. The inequivalent atoms are La at (0.0000, 0.0000, 0.0000), Ce at (0.0000, 0.0000, 0.2487), Er at (0.0000, 0.0000, 0.5000), Tl at (0.0000, 0.0000, 0.1270) and Tl at (0.0000, 0.0000, 0.3776).

=====

[7]
VASP calculation (PBE) on a geometry-optimized LaCeErTl structure.

The calculation puts the formation energy at 0.009 eV per atom. The calculation puts the total energy at -71.02 eV per cell. The value obtained for the total magnetization is 0.31 μB/f.u.

The structure belongs to space group F-43m (No. 216); the cell edges are 7.785, 7.785 and 7.785 Å and the angles 90.00°, 90.00° and 90.00°. The inequivalent atoms are La at (0.000, 0.000, 0.000), Ce at (0.250, 0.250, 0.750), Er at (0.000, 0.000, 0.500) and Tl at (0.250, 0.250, 0.250).

=====

[8]
VASP calculation (PBE) on a geometry-optimized La2CeY6Er3 structure.

The calculation puts the formation energy at 0.044 eV per atom. The calculation puts the total energy at -135.46 eV per cell. The value obtained for the total magnetization is 1.02 μB/f.u.

The structure belongs to space group C2/m (No. 12); the cell edges are 6.213, 10.770 and 11.853 Å and the angles 90.00°, 100.11° and 90.00°. The inequivalent atoms are La at (0.000, 0.167, 0.000), Ce at (0.000, 0.500, 0.000), Y at (0.246, 0.500, 0.746), Y at (0.250, 0.165, 0.746), Er at (0.000, 0.000, 0.500) and Er at (0.000, 0.333, 0.500).

=====

[9]
VASP calculation (PBE) on a geometry-optimized La3CeY6Er2 structure.

The calculation puts the formation energy at 0.037 eV per atom. The calculation puts the total energy at -136.37 eV per cell. The value obtained for the total magnetization is 1.18 μB/f.u.

The structure belongs to space group C2/m (No. 12); the cell edges are 6.252, 10.833 and 11.910 Å and the angles 90.00°, 100.08° and 90.00°. The inequivalent atoms are La at (0.000, 0.000, 0.000), La at (0.000, 0.332, 0.000), Ce at (0.000, 0.500, 0.500), Y at (0.247, 0.334, 0.744), Y at (0.250, 0.000, 0.744) and Er at (0.000, 0.167, 0.500).

=====

[10]
VASP calculation (PBE) on a geometry-optimized LaCeYEr structure.

The calculation puts the formation energy at 0.154 eV per atom. The calculation puts the total energy at -85.10 eV per cell. The value obtained for the total magnetization is 0.65 μB/f.u.

The structure belongs to space group F-43m (No. 216); the cell edges are 8.102, 8.102 and 8.102 Å and the angles 90.00°, 90.00° and 90.00°. The inequivalent atoms are La at (0.000, 0.000, 0.000), Ce at (0.000, 0.000, 0.500), Y at (0.250, 0.250, 0.750) and Er at (0.250, 0.250, 0.250).

=====

[11]
VASP calculation (PBE) on a geometry-optimized La6CeY2Er structure.

The calculation puts the formation energy at 0.215 eV per atom. The calculation puts the total energy at -101.68 eV per cell. The value obtained for the total magnetization is 1.17 μB/f.u.

The structure belongs to space group C2/m (No. 12); the cell edges are 11.399, 7.207 and 8.953 Å and the angles 90.00°, 103.90° and 90.00°. The inequivalent atoms are La at (0.132, 0.000, 0.422), La at (0.166, 0.270, 0.794), Ce at (0.000, 0.000, 0.000), Y at (0.097, 0.500, 0.165) and Er at (0.000, 0.500, 0.500).

=====

[12]
VASP calculation (PBE) on a geometry-optimized LaCeErZr structure.

The calculation puts the formation energy at 0.223 eV per atom. The calculation puts the total energy at -92.33 eV per cell. The value obtained for the total magnetization is 0.56 μB/f.u.

The structure belongs to space group F-43m (No. 216); the cell edges are 7.782, 7.782 and 7.782 Å and the angles 90.00°, 90.00° and 90.00°. The inequivalent atoms are La at (0.000, 0.000, 0.000), Ce at (0.000, 0.000, 0.500), Er at (0.250, 0.250, 0.250) and Zr at (0.250, 0.250, 0.750).

=====

[13]
VASP calculation (PBE) on a geometry-optimized LiCeEr2 structure.

The calculation puts the formation energy at 0.110 eV per atom. As for the energy above the lowest structure with this stoichiometry: 0.000 eV per atom. The calculation puts the total energy at -16.53 eV per cell. The value obtained for the total magnetization is 0.25 μB/f.u.

The structure belongs to space group P4/mmm (No. 123); the cell edges are 3.565, 3.565 and 8.536 Å and the angles 90.00°, 90.00° and 90.00°. The inequivalent atoms are Li at (0.000, 0.000, 0.000), Ce at (0.000, 0.000, 0.500) and Er at (0.500, 0.500, 0.229).